Material: ZnFe4O8
Method: DFT, PBE+U
State: relaxed

- calculated volume (Å³/atom) = 11.47
- E above lowest polymorph (meV/atom) = 25

Cell: 5.8815 5.8815 14.9337 Å, 90.00 90.00 120.00°
Closest atoms and distances in Å follow each position.
Space group R-3m (No. 166, hexagonal axes)
Symmetry-distinct sites (fractional):
Zn (0.0000, 0.0000, 0.0000)  6 O 2.17
Fe (0.0000, 0.0000, 0.5000)  6 O 2.06
Fe (0.0000, 0.5000, 0.5000)  6 O 1.95-1.97
O (0.0000, 0.0000, 0.2331)  3 Fe 1.97
O (0.0168, 0.5084, 0.7641)  3 Fe 1.95-2.06, 1 Zn 2.17